[1]
Here is a geometry-optimized KRb2Na3 structure from Alexandria via LeMat-Bulk. Energies are from GGA-PBE.

abc: 9.9257 10.8690 10.8690
angles: 143.12 90.00 90.00
Positions (direct):
Rb 0.7197 0.3317 0.6683
Rb 0.7197 0.6683 0.3317
Na 0.9695 0.5000 0.5000
Na 0.4695 0.8408 0.1589
Na 0.4695 0.5000 0.5000
Na 0.9695 0.8411 0.1592
K 0.2198 0.0000 0.0000
K 0.7198 0.0000 0.0000
Rb 0.2197 0.6683 0.3317
Rb 0.2197 0.3317 0.6683
Na 0.9695 0.1592 0.8411
Na 0.4695 0.1589 0.8408

Output
energy above the lowest structure with this stoichiometry = 13.2 meV/atom
ΔE_f = 33 meV/atom
total magnetization = 0.00 μB per atom

---

[2]
Here is a geometry-optimized K9Rb2Na6 structure from Alexandria via LeMat-Bulk. Energies are from GGA-PBE.

abc: 8.5491 8.5491 19.5477
angles: 90.00 90.00 120.00
Positions (direct):
Na 0.3333 0.6667 0.0000
K 0.5000 0.5000 0.8324
Na 0.6667 0.3333 0.6667
K 0.5000 0.5000 0.5000
K 0.0000 0.5000 0.8324
K 0.0000 0.5000 0.1676
K 0.5000 0.5000 0.1676
Na 0.3333 0.6667 0.6667
Na 0.6667 0.3333 0.0000
Na 0.6667 0.3333 0.3333
K 0.5000 0.0000 0.1676
Rb 0.0000 0.0000 0.3401
K 0.5000 0.0000 0.8324
Rb 0.0000 0.0000 0.6599
Na 0.3333 0.6667 0.3333
K 0.5000 0.0000 0.5000
K 0.0000 0.5000 0.5000

Output
ΔE_f = 101 meV/atom
total magnetization = 0.00 μB per atom

---

[3]
Here is a geometry-optimized K12Rb7Na2 structure from Alexandria via LeMat-Bulk. Energies are from GGA-PBE.

abc: 4.6574 19.6663 19.6663
angles: 120.00 90.00 90.00
Positions (direct):
K 0.8132 0.0910 0.4748
K 0.8014 0.2358 0.2082
K 0.1986 0.0276 0.2358
Rb 0.5000 0.0000 0.0000
Rb 0.6240 0.8326 0.2865
Rb 0.3760 0.2865 0.4539
K 0.1868 0.9090 0.5252
Na 0.0978 0.6667 0.3333
K 0.8014 0.7918 0.0276
K 0.8132 0.3838 0.9090
Rb 0.3760 0.5461 0.8326
K 0.1986 0.2082 0.9724
Rb 0.6240 0.7135 0.5461
Rb 0.3760 0.1674 0.7135
K 0.1986 0.7642 0.7918
K 0.1868 0.6162 0.0910
Rb 0.6240 0.4539 0.1674
K 0.1868 0.4748 0.3838
Na 0.9022 0.3333 0.6667
K 0.8132 0.5252 0.6162
K 0.8014 0.9724 0.7642

Output
ΔE_f = 14 meV/atom
total magnetization = 0.00 μB per atom